VASP calculation (GGA-PBE) on a geometry-optimized ZnReW4 structure.

a b c (Å): 5.2202 5.2202 5.2202
angles (deg): 60.00 60.00 60.00
Atoms (fractional coordinates):
Re (0.0000, 0.0000, 0.0000)
W (0.8738, 0.3754, 0.3754)
W (0.3754, 0.3754, 0.8738)
W (0.3754, 0.3754, 0.3754)
W (0.3754, 0.8738, 0.3754)
Zn (0.7500, 0.7500, 0.7500)

Volume, Å³ per cell: 100.6
Energy of formation from the pure elements, eV/atom: 0.555
Uncorrected energy, eV/atom: -10.37